(1)
The following is a DFT calculation (PBE with a Hubbard U) of TlNiO3 after structural relaxation.

- VASP energy: -4.61 eV per atom
- Total moment: 4.00 μB per cell
- DOS(E_F): 0.2634 states/eV per atom

Lattice parameters (Å, degrees): 5.4532 7.7689 5.3112 90.00 90.00 90.00
Space group Pnma (No. 62)
One atom of each set of equivalent atoms:
Tl: 0.0502 0.2500 0.0180 [4 per cell]
Ni: 0.0000 0.0000 0.5000 [4 per cell]
O: 0.0450 0.7500 0.3920 [4 per cell]
O: 0.2075 0.5594 0.7948 [8 per cell]

(2)
The following is a DFT calculation (PBE with a Hubbard U) of TlNi2O after structural relaxation.

- Distance to the lowest polymorph of the same formula: 0 meV per atom
- VASP energy: -3.10 eV per atom
- Total moment: 4.06 μB per cell
- DOS(E_F): 0.1960 states/eV per atom

Lattice parameters (Å, degrees): 4.9331 4.9331 11.2511 90.00 90.00 90.00
Space group I4_1/amd (No. 141, origin choice 2)
One atom of each set of equivalent atoms:
Tl: 0.0000 0.2500 0.3750 [4 per cell]
Ni: 0.0000 0.0000 0.0000 [8 per cell]
O: 0.0000 0.2500 0.8750 [4 per cell]

(3)
The following is a DFT calculation (PBE with a Hubbard U) of TlNiO2 after structural relaxation.

- VASP energy: -4.04 eV per atom
- Total moment: 4.00 μB per cell
- DOS(E_F): 0.2254 states/eV per atom

Lattice parameters (Å, degrees): 5.8437 5.8437 7.2682 90.00 90.00 90.00
Space group I-42d (No. 122)
One atom of each set of equivalent atoms:
Tl: 0.0000 0.0000 0.0000 [4 per cell]
Ni: 0.0000 0.0000 0.5000 [4 per cell]
O: 0.1268 0.2500 0.6250 [8 per cell]

(4)
The following is a DFT calculation (PBE with a Hubbard U) of Tl3NiO after structural relaxation.

- Distance to the lowest polymorph of the same formula: 0 meV per atom
- VASP energy: -2.45 eV per atom
- Total moment: 0.00 μB per cell
- DOS(E_F): 0.3763 states/eV per atom

Lattice parameters (Å, degrees): 4.9640 4.9640 4.9640 90.00 90.00 90.00
Space group Pm-3m (No. 221)
One atom of each set of equivalent atoms:
Tl: 0.0000 0.0000 0.5000 [3 per cell]
Ni: 0.0000 0.0000 0.0000 [1 per cell]
O: 0.5000 0.5000 0.5000 [1 per cell]

(5)
The following is a DFT calculation (PBE with a Hubbard U) of TlNiO3 after structural relaxation.

- VASP energy: -4.38 eV per atom
- Total moment: 0.96 μB per cell
- DOS(E_F): 0.2730 states/eV per atom

Lattice parameters (Å, degrees): 3.8868 3.8162 3.9339 90.00 98.02 90.00
Space group Pm (No. 6)
One atom of each set of equivalent atoms:
Tl: 0.0000 0.0000 0.0000 [1 per cell]
Ni: 0.4495 0.5000 0.5294 [1 per cell]
O: 0.3507 0.5000 0.0192 [1 per cell]
O: 0.4899 0.0000 0.6178 [1 per cell]
O: 0.9314 0.5000 0.4308 [1 per cell]

(6)
The following is a DFT calculation (PBE with a Hubbard U) of TlNiO2 after structural relaxation.

- VASP energy: -4.21 eV per atom
- Total moment: 0.00 μB per cell
- DOS(E_F): 0.5469 states/eV per atom

Lattice parameters (Å, degrees): 2.8717 6.2938 6.2943 90.00 89.97 89.96
Space group P1 (No. 1)
One atom of each set of equivalent atoms:
Tl: 0.0000 0.0000 0.0000 [1 per cell]
Tl: 0.9997 0.4999 0.5004 [1 per cell]
Ni: 0.3823 0.5001 0.0005 [1 per cell]
Ni: 0.6172 0.9998 0.4999 [1 per cell]
O: 0.1176 0.1384 0.6391 [1 per cell]
O: 0.1184 0.8611 0.3608 [1 per cell]
O: 0.8816 0.3609 0.1392 [1 per cell]
O: 0.8815 0.6390 0.8617 [1 per cell]

What is the formula in the first record? TlNiO3